Entry 1:
Compound: KLa2PtC
Source: the Alexandria database
Functional: PBE
Structure: optimized geometry

Unit cell a=6.126 b=3.954 c=6.126 alpha=90.00 beta=90.00 gamma=90.00
Each line ends with the local moment (μB).
Fractional positions:
K 0.500 0.500 0.500  0.02
C 0.000 0.500 0.000  0.00
Pt 0.000 0.000 0.000  0.03
La 0.000 0.000 0.500  0.18
La 0.500 0.000 0.000  0.20

Output
Energy of formation, eV per formula unit: 2.3

=====

Entry 2:
Compound: KLa2CSe
Source: the Alexandria database
Functional: PBE
Structure: optimized geometry

Unit cell a=5.031 b=5.031 c=5.627 alpha=90.00 beta=90.00 gamma=90.00
Fractional positions:
K 0.000 0.000 0.500
C 0.000 0.000 0.000
Se 0.500 0.500 0.500
La 0.000 0.500 0.000
La 0.500 0.000 0.000

=====

Entry 3:
Compound: KLa2TlC
Source: the Alexandria database
Functional: PBE
Structure: optimized geometry

Unit cell a=5.716 b=5.525 c=5.716 alpha=90.00 beta=90.00 gamma=90.00
Each line ends with the local moment (μB).
Fractional positions:
C 0.500 0.500 0.500  0.59
Tl 0.000 0.500 0.000  -0.05
K 0.000 0.000 0.000  -0.02
La 0.000 0.000 0.500  -0.03
La 0.500 0.000 0.000  -0.05

Output
Energy of formation, eV per formula unit: 11.0

=====

| no. | E (eV per atom) |
| --- | --- |
| 1 | -4.793 |
| 2 | -5.033 |
| 3 | -2.317 |